Density functional theory data (PBE) for a relaxed Sc6Si2Ni crystal.

a b c (Å): 7.426 7.426 3.711
angles (deg): 90.00 90.00 120.00
Last column: magnetic moment on the atom in μB.
Atoms (fractional coordinates):
Ni (0.000, 0.000, 0.000)  0.09
Sc (0.593, 0.000, 0.000)  0.28
Sc (0.407, 0.407, 0.000)  0.26
Sc (0.000, 0.593, 0.000)  0.33
Sc (0.252, 0.000, 0.500)  0.25
Sc (0.000, 0.252, 0.500)  0.26
Sc (0.748, 0.748, 0.500)  0.25
Si (0.667, 0.333, 0.500)  -0.02
Si (0.333, 0.667, 0.500)  -0.02

Summary:
VASP energy = -0.48140 Ry/atom
SG = No. 189